This record from Alexandria describes a geometry-optimized LiNiPO2 structure. The functional is PBE with a Hubbard U.

```
5
Lattice="3.7518 0.0000 0.0000 0.0000 3.7518 0.0000 0.0000 0.0000 4.5054" Properties=species:S:1:pos:R:3 pbc="T T T"
Li 0.0000 0.0000 0.0000
Ni 1.8759 1.8759 2.2527
P 1.8759 1.8759 0.0000
O 0.0000 1.8759 2.2527
O 1.8759 0.0000 2.2527
```

Output
As for the density of states at the Fermi level: 0.79 states/eV per atom. The calculation puts the total magnetization at 0.8 Bohr magnetons per cell. The distance to the lowest polymorph of the same formula comes out at 0 meV per atom.